i.
CrMoAu2 | GGA-PBE | optimized geometry

Calculated values
Theoretical density = 13.9 g/cm3

a b c (Å): 5.083 5.083 5.083
angles (deg): 134.91 134.91 65.67
Site moments in Bohr magnetons follow the coordinates.
Positions (direct):
Au 0.000 0.000 0.000  -0.05
Au 0.500 0.500 0.000  -0.05
Cr 0.250 0.750 0.500  2.61
Mo 0.750 0.250 0.500  -1.41

---

ii.
CrMoAu2 | GGA-PBE | optimized geometry

Calculated values
Theoretical density = 13.5 g/cm3

a b c (Å): 4.549 4.549 4.549
angles (deg): 60.00 60.00 60.00
Site moments in Bohr magnetons follow the coordinates.
Positions (direct):
Au 0.000 0.000 0.000  -0.11
Au 0.250 0.250 0.250  0.05
Cr 0.500 0.500 0.500  2.82
Mo 0.750 0.750 0.750  -1.66

---

iii.
CrMoAu2 | GGA-PBE | optimized geometry

Calculated values
Theoretical density = 13.3 g/cm3

a b c (Å): 3.727 3.727 10.112
angles (deg): 79.38 79.38 90.00
Positions (direct):
Cr 0.500 0.500 0.000
Cr 0.250 0.750 0.500
Mo 0.000 0.000 0.000
Mo 0.750 0.250 0.500
Au 0.622 0.125 0.250
Au 0.128 0.625 0.250
Au 0.375 0.378 0.750
Au 0.875 0.872 0.750

---

iv.
CrMoAu2 | GGA-PBE | optimized geometry

Calculated values
Theoretical density = 13.7 g/cm3

a b c (Å): 5.018 5.018 4.831
angles (deg): 80.26 80.26 33.33
Site moments in Bohr magnetons follow the coordinates.
Positions (direct):
Au 0.999 0.999 0.001  0.01
Au 0.501 0.501 0.499  0.01
Cr 0.750 0.750 0.750  2.92
Mo 0.250 0.250 0.250  -0.75

---

How far above the most stable structure does each one sit? In kJ/mol of atoms: i 0.0; ii 13.5; iii 40.5; iv 7.0.